1.
{"formula": "La2Sm3Ho3", "functional": "GGA-PBE", "state": "relaxed", "dft_energy_ev_per_atom": -4.597, "sg": "Cmcm (63)", "relative_energy_ev_per_atom": 0.097, "vol_a3_per_atom": 34.33, "ef_ev_per_fu": 1.0, "cell": [[1.8155, -8.8745, 0.0000], [1.8155, 8.8745, 0.0000], [0.0000, 0.0000, 17.0455]], "species": ["La", "La", "La", "La", "Sm", "Sm", "Sm", "Sm", "Sm", "Sm", "Ho", "Ho", "Ho", "Ho", "Ho", "Ho"], "frac_coords": [[0.2197, 0.7803, 0.6508], [0.2197, 0.7803, 0.8492], [0.7803, 0.2197, 0.1508], [0.7803, 0.2197, 0.3492], [0.3562, 0.6438, 0.5133], [0.3562, 0.6438, 0.9867], [0.3926, 0.6074, 0.7500], [0.6074, 0.3926, 0.2500], [0.6438, 0.3562, 0.0133], [0.6438, 0.3562, 0.4867], [0.0054, 0.9946, 0.6006], [0.0054, 0.9946, 0.8994], [0.4214, 0.5786, 0.2500], [0.5786, 0.4214, 0.7500], [0.9946, 0.0054, 0.1006], [0.9946, 0.0054, 0.3994]]}



2.
{"formula": "LaSm2Ho6", "functional": "GGA-PBE", "state": "relaxed", "dft_energy_ev_per_atom": -4.459, "sg": "P2_1/c (14)", "relative_energy_ev_per_atom": 0.000, "vol_a3_per_atom": 33.19, "ef_ev_per_fu": 1.7, "cell": [[8.9100, 0.0000, 0.0000], [0.0000, 6.4701, 0.0000], [-5.5153, 0.0000, 10.3618]], "species": ["La", "La", "Sm", "Sm", "Sm", "Sm", "Ho", "Ho", "Ho", "Ho", "Ho", "Ho", "Ho", "Ho", "Ho", "Ho", "Ho", "Ho"], "frac_coords": [[0.0000, 0.0000, 0.0000], [0.0000, 0.5000, 0.5000], [0.3356, 0.1436, 0.9826], [0.3356, 0.3564, 0.4826], [0.6644, 0.6436, 0.5174], [0.6644, 0.8564, 0.0174], [0.1310, 0.0274, 0.6535], [0.1310, 0.4726, 0.1535], [0.2668, 0.6178, 0.8695], [0.2668, 0.8822, 0.3695], [0.4702, 0.7292, 0.1890], [0.4702, 0.7708, 0.6890], [0.5298, 0.2292, 0.3110], [0.5298, 0.2708, 0.8110], [0.7332, 0.1178, 0.6305], [0.7332, 0.3822, 0.1305], [0.8690, 0.5274, 0.8465], [0.8690, 0.9726, 0.3465]]}



3.
{"formula": "LaSm2Ho2", "functional": "GGA-PBE", "state": "relaxed", "dft_energy_ev_per_atom": -4.626, "sg": "P4/mbm (127)", "relative_energy_ev_per_atom": 0.000, "vol_a3_per_atom": 34.18, "ef_ev_per_fu": 0.4, "cell": [[9.4848, 0.0000, 0.0000], [0.0000, 9.4848, 0.0000], [0.0000, 0.0000, 3.7998]], "species": ["La", "La", "Sm", "Sm", "Sm", "Sm", "Ho", "Ho", "Ho", "Ho"], "frac_coords": [[0.0000, 0.0000, 0.0000], [0.5000, 0.5000, 0.0000], [0.1265, 0.3735, 0.0000], [0.3735, 0.8735, 0.0000], [0.6265, 0.1265, 0.0000], [0.8735, 0.6265, 0.0000], [0.1700, 0.6700, 0.5000], [0.3300, 0.1700, 0.5000], [0.6700, 0.8300, 0.5000], [0.8300, 0.3300, 0.5000]]}



4.
{"formula": "La3Sm6Ho", "functional": "GGA-PBE", "state": "relaxed", "dft_energy_ev_per_atom": -4.519, "sg": "C2/m (12)", "relative_energy_ev_per_atom": 0.068, "vol_a3_per_atom": 35.77, "ef_ev_per_fu": 2.5, "cell": [[6.0023, -3.4267, 0.0000], [6.0023, 3.4267, 0.0000], [-1.8188, 0.0000, 8.6945]], "species": ["La", "La", "La", "Sm", "Sm", "Sm", "Sm", "Sm", "Sm", "Ho"], "frac_coords": [[0.0000, 0.0000, 0.0000], [0.4734, 0.4734, 0.6755], [0.5266, 0.5266, 0.3245], [0.0267, 0.4886, 0.3220], [0.3144, 0.3144, 0.9961], [0.4886, 0.0267, 0.3220], [0.5114, 0.9733, 0.6780], [0.6856, 0.6856, 0.0039], [0.9733, 0.5114, 0.6780], [0.0000, 0.0000, 0.5000]]}



5.
{"formula": "La2Sm3Ho", "functional": "GGA-PBE", "state": "relaxed", "dft_energy_ev_per_atom": -4.708, "sg": "C2/c (15)", "relative_energy_ev_per_atom": 0.000, "vol_a3_per_atom": 34.43, "ef_ev_per_fu": 0.3, "cell": [[4.5819, -5.0103, 0.0000], [4.5819, 5.0103, 0.0000], [-1.8583, 0.0000, 8.9976]], "species": ["La", "La", "La", "La", "Sm", "Sm", "Sm", "Sm", "Sm", "Sm", "Ho", "Ho"], "frac_coords": [[0.1225, 0.6265, 0.8758], [0.3735, 0.8775, 0.6242], [0.6265, 0.1225, 0.3758], [0.8775, 0.3735, 0.1242], [0.1674, 0.3339, 0.4999], [0.3339, 0.1674, 0.9999], [0.4164, 0.5836, 0.2500], [0.5836, 0.4164, 0.7500], [0.6661, 0.8326, 0.0001], [0.8326, 0.6661, 0.5001], [0.0833, 0.9167, 0.2500], [0.9167, 0.0833, 0.7500]]}



6.
{"formula": "La3SmHo12", "functional": "GGA-PBE", "state": "relaxed", "dft_energy_ev_per_atom": -4.621, "sg": "P4/mmm (123)", "vol_a3_per_atom": 32.34, "ef_ev_per_fu": 0.5, "cell": [[5.0564, 0.0000, 0.0000], [0.0000, 5.0564, 0.0000], [0.0000, 0.0000, 20.2369]], "species": ["La", "La", "La", "Sm", "Ho", "Ho", "Ho", "Ho", "Ho", "Ho", "Ho", "Ho", "Ho", "Ho", "Ho", "Ho"], "frac_coords": [[0.0000, 0.0000, 0.0000], [0.0000, 0.0000, 0.2503], [0.0000, 0.0000, 0.7497], [0.0000, 0.0000, 0.5000], [0.0000, 0.5000, 0.1256], [0.0000, 0.5000, 0.3773], [0.0000, 0.5000, 0.6227], [0.0000, 0.5000, 0.8744], [0.5000, 0.0000, 0.1256], [0.5000, 0.0000, 0.3773], [0.5000, 0.0000, 0.6227], [0.5000, 0.0000, 0.8744], [0.5000, 0.5000, 0.0000], [0.5000, 0.5000, 0.2517], [0.5000, 0.5000, 0.5000], [0.5000, 0.5000, 0.7483]]}



7.
{"formula": "La2Sm5Ho12", "functional": "GGA-PBE", "state": "relaxed", "dft_energy_ev_per_atom": -4.569, "sg": "P-1 (2)", "relative_energy_ev_per_atom": 0.000, "vol_a3_per_atom": 32.90, "ef_ev_per_fu": 1.6, "cell": [[6.7743, 0.0000, 0.0000], [-1.6020, 8.6695, 0.0000], [-0.4817, -4.2578, 10.6425]], "species": ["La", "La", "Sm", "Sm", "Sm", "Sm", "Sm", "Ho", "Ho", "Ho", "Ho", "Ho", "Ho", "Ho", "Ho", "Ho", "Ho", "Ho", "Ho"], "frac_coords": [[0.1541, 0.3826, 0.0743], [0.8459, 0.6174, 0.9257], [0.0476, 0.1853, 0.4607], [0.3778, 0.7385, 0.9865], [0.5000, 0.0000, 0.5000], [0.6222, 0.2615, 0.0135], [0.9524, 0.8147, 0.5393], [0.1179, 0.7816, 0.2507], [0.1522, 0.9773, 0.8662], [0.1667, 0.5722, 0.6861], [0.3428, 0.5570, 0.4144], [0.3846, 0.1422, 0.2329], [0.3878, 0.3062, 0.7759], [0.6122, 0.6938, 0.2241], [0.6154, 0.8578, 0.7671], [0.6572, 0.4430, 0.5856], [0.8333, 0.4278, 0.3139], [0.8478, 0.0227, 0.1338], [0.8821, 0.2184, 0.7493]]}



8.
{"formula": "LaSm2Ho", "functional": "GGA-PBE", "state": "relaxed", "dft_energy_ev_per_atom": -4.715, "sg": "R-3m (166)", "relative_energy_ev_per_atom": 0.000, "vol_a3_per_atom": 33.89, "ef_ev_per_fu": 0.1, "cell": [[1.8150, 1.0479, 11.8792], [-1.8150, 1.0479, 11.8792], [0.0000, -2.0958, 11.8792]], "species": ["La", "Sm", "Sm", "Ho"], "frac_coords": [[0.0000, 0.0000, 0.0000], [0.2477, 0.2477, 0.2477], [0.7523, 0.7523, 0.7523], [0.5000, 0.5000, 0.5000]]}



9.
{"formula": "La12SmHo3", "functional": "GGA-PBE", "state": "relaxed", "dft_energy_ev_per_atom": -4.841, "sg": "P4/mmm (123)", "vol_a3_per_atom": 35.33, "ef_ev_per_fu": 0.1, "cell": [[5.2097, 0.0000, 0.0000], [0.0000, 5.2097, 0.0000], [0.0000, 0.0000, 20.8265]], "species": ["La", "La", "La", "La", "La", "La", "La", "La", "La", "La", "La", "La", "Sm", "Ho", "Ho", "Ho"], "frac_coords": [[0.0000, 0.0000, 0.0000], [0.0000, 0.0000, 0.2494], [0.0000, 0.0000, 0.5000], [0.0000, 0.0000, 0.7506], [0.0000, 0.5000, 0.1246], [0.0000, 0.5000, 0.3740], [0.0000, 0.5000, 0.6260], [0.0000, 0.5000, 0.8754], [0.5000, 0.0000, 0.1246], [0.5000, 0.0000, 0.3740], [0.5000, 0.0000, 0.6260], [0.5000, 0.0000, 0.8754], [0.5000, 0.5000, 0.5000], [0.5000, 0.5000, 0.0000], [0.5000, 0.5000, 0.2492], [0.5000, 0.5000, 0.7508]]}



10.
{"formula": "La5Sm2Ho5", "functional": "GGA-PBE", "state": "relaxed", "dft_energy_ev_per_atom": -4.720, "sg": "C2/m (12)", "vol_a3_per_atom": 33.96, "ef_ev_per_fu": 0.3, "cell": [[7.7505, -2.5637, 0.0000], [7.7505, 2.5637, 0.0000], [-5.1826, 0.0000, 10.2538]], "species": ["La", "La", "La", "La", "La", "Sm", "Sm", "Ho", "Ho", "Ho", "Ho", "Ho"], "frac_coords": [[0.0000, 0.0000, 0.0000], [0.0813, 0.0813, 0.7499], [0.2487, 0.2487, 0.2499], [0.7513, 0.7513, 0.7501], [0.9187, 0.9187, 0.2501], [0.1662, 0.1662, 0.4992], [0.8338, 0.8338, 0.5008], [0.3329, 0.3329, 0.9998], [0.4158, 0.4158, 0.7478], [0.5000, 0.5000, 0.5000], [0.5842, 0.5842, 0.2522], [0.6671, 0.6671, 0.0002]]}



11.
{"formula": "LaSm6Ho12", "functional": "GGA-PBE", "state": "relaxed", "dft_energy_ev_per_atom": -4.455, "sg": "R-3 (148)", "relative_energy_ev_per_atom": 0.165, "vol_a3_per_atom": 32.93, "ef_ev_per_fu": 3.5, "cell": [[6.1087, 3.5269, 4.8394], [-6.1087, 3.5269, 4.8394], [0.0000, -7.0537, 4.8394]], "species": ["La", "Sm", "Sm", "Sm", "Sm", "Sm", "Sm", "Ho", "Ho", "Ho", "Ho", "Ho", "Ho", "Ho", "Ho", "Ho", "Ho", "Ho", "Ho"], "frac_coords": [[0.0000, 0.0000, 0.0000], [0.1419, 0.2743, 0.7482], [0.2518, 0.8581, 0.7257], [0.2743, 0.7482, 0.1419], [0.7257, 0.2518, 0.8581], [0.7482, 0.1419, 0.2743], [0.8581, 0.7257, 0.2518], [0.0710, 0.3841, 0.1415], [0.1415, 0.0710, 0.3841], [0.2076, 0.5317, 0.4735], [0.3841, 0.1415, 0.0710], [0.4682, 0.5265, 0.7924], [0.4735, 0.2076, 0.5317], [0.5265, 0.7924, 0.4682], [0.5317, 0.4735, 0.2076], [0.6159, 0.8585, 0.9290], [0.7924, 0.4682, 0.5265], [0.8585, 0.9290, 0.6159], [0.9290, 0.6159, 0.8585]]}



12.
{"formula": "La4Sm5Ho3", "functional": "GGA-PBE", "state": "relaxed", "dft_energy_ev_per_atom": -4.544, "sg": "C2/m (12)", "vol_a3_per_atom": 35.07, "ef_ev_per_fu": 2.5, "cell": [[8.2385, -3.0157, 0.0000], [8.2385, 3.0157, 0.0000], [-4.3301, 0.0000, 8.4684]], "species": ["La", "La", "La", "La", "Sm", "Sm", "Sm", "Sm", "Sm", "Ho", "Ho", "Ho"], "frac_coords": [[0.0842, 0.0842, 0.4415], [0.2173, 0.2173, 0.8772], [0.7827, 0.7827, 0.1228], [0.9158, 0.9158, 0.5585], [0.0000, 0.0000, 0.0000], [0.3293, 0.3293, 0.6123], [0.4270, 0.4270, 0.2962], [0.5730, 0.5730, 0.7038], [0.6707, 0.6707, 0.3877], [0.2102, 0.2102, 0.2292], [0.5000, 0.5000, 0.0000], [0.7898, 0.7898, 0.7708]]}